A relaxed NbRh3O crystal, computed with PBE.

Summary:
- E_form (uncorrected): 0.05 eV per atom
- Calculated volume: 71 Å³/cell

Geometry as POSCAR:
```
NbRh3O
1.0
4.1348 0.0000 0.0000
0.0000 4.1348 0.0000
0.0000 0.0000 4.1348
Nb Rh O
1 3 1
Direct
0.0000 0.0000 0.0000
0.0000 0.5000 0.5000
0.5000 0.0000 0.5000
0.5000 0.5000 0.0000
0.5000 0.5000 0.5000
```